Tm4Br: relaxed, PBE.

Summary:
ρ ... 8.23 g cm⁻³
Crystal system ... cubic
Raw formation energy ... -0.105 eV per atom

Unit cell a=5.341 b=5.341 c=5.341 alpha=90.00 beta=90.00 gamma=90.00
Space group Pm-3m (No. 221)
Symmetry-distinct sites (fractional):
1 Tm 0.000 0.000 0.000 x1
2 Tm 0.000 0.500 0.500 x3
3 Br 0.500 0.500 0.500 x1

Al2NiMo: relaxed, PBE.

Summary:
Formation enthalpy at 0 K ... -251.1 meV/atom
ΔE to the lowest computed polymorph ... 109.8 meV/atom
ρ ... 6.17 g cm⁻³
Crystal system ... orthorhombic

Unit cell a=2.882 b=4.291 c=9.071 alpha=90.00 beta=90.00 gamma=90.00
Space group Imm2 (No. 44)
Symmetry-distinct sites (fractional):
1 Al 0.000 0.000 0.000 x2
2 Al 0.000 0.500 0.226 x2
3 Ni 0.000 0.000 0.507 x2
4 Mo 0.000 0.500 0.762 x2

| no. | N(E_F) (states/eV per atom) | volume (Å³ per atom) |
| --- | --- | --- |
| 1 | 1.9112 | 30.5 |
| 2 | 0.6591 | 14.0 |